[1]
VASP calculation (PBE-GGA) on a relaxed Tm3GaRu2 crystal.

## Properties
The value obtained for the total moment is 0.000 μB per cell. Its space-group type is P4/mmm.

Structure (POSCAR):
```
Tm3GaRu2
1.0
3.4139 0.0000 0.0000
0.0000 3.4139 0.0000
0.0000 0.0000 10.2965
Ru Tm Ga
2 3 1
direct
0.5000 0.5000 0.1659 Ru
0.5000 0.5000 0.8341 Ru
0.0000 0.0000 0.3180 Tm
0.0000 0.0000 0.6820 Tm
0.0000 0.0000 0.0000 Tm
0.5000 0.5000 0.5000 Ga
```



[2]
VASP calculation (PBE-GGA) on a relaxed TmGa2Ru2 crystal.

## Properties
The value obtained for the total moment is 0.000 μB per cell. The excess energy over the best structure of this formula in the dataset comes out at 0 meV/atom. Its space-group type is P4/mbm.

Structure (POSCAR):
```
TmGa2Ru2
1.0
-2.0291 1.6543 1.6199
-2.9039 -6.1277 2.6207
4.6325 0.1993 5.5991
Ga Ru Tm
4 4 2
direct
0.0000 0.1265 0.3735 Ga
0.0000 0.8735 0.6265 Ga
0.0000 0.6265 0.1265 Ga
0.0000 0.3735 0.8735 Ga
0.5000 0.1689 0.6689 Ru
0.5000 0.6689 0.8311 Ru
0.5000 0.8311 0.3311 Ru
0.5000 0.3311 0.1689 Ru
0.0000 0.5000 0.5000 Tm
0.0000 0.0000 0.0000 Tm
```



[3]
VASP calculation (PBE-GGA) on a relaxed TmGa3Ru crystal.

## Properties
The value obtained for the total moment is 0.000 μB per cell. The excess energy over the best structure of this formula in the dataset comes out at 0 meV/atom. Its space-group type is Pm-3m.

Structure (POSCAR):
```
TmGa3Ru
1.0
-6.0628 -1.9496 0.4748
1.1229 -2.0442 5.9451
-1.6629 5.7275 2.2835
Tm Ga Ru
3 9 3
direct
0.0000 0.5000 0.5000 Tm
0.5000 0.5000 0.0000 Tm
0.5000 0.0000 0.5000 Tm
0.7866 0.2134 0.7866 Ga
0.7866 0.7866 0.7866 Ga
0.5000 0.5000 0.5000 Ga
0.2134 0.2134 0.7866 Ga
0.7866 0.2134 0.2134 Ga
0.7866 0.7866 0.2134 Ga
0.2134 0.7866 0.7866 Ga
0.2134 0.2134 0.2134 Ga
0.2134 0.7866 0.2134 Ga
0.5000 0.0000 0.0000 Ru
0.0000 0.5000 0.0000 Ru
0.0000 0.0000 0.5000 Ru
```



[4]
VASP calculation (PBE-GGA) on a relaxed Tm6GaRu crystal.

## Properties
The value obtained for the total moment is 0.000 μB per cell. Its space-group type is C2/m.

Structure (POSCAR):
```
Tm6GaRu
1.0
-3.1954 2.0736 -5.3513
0.3046 -4.2770 -5.1114
-4.5235 -4.6467 -0.7356
Tm Ga Ru
6 1 1
direct
0.2615 0.2611 0.0000 Tm
0.7450 0.0738 0.3770 Tm
0.2550 0.5493 0.3770 Tm
0.2550 0.9262 0.6230 Tm
0.7450 0.4507 0.6230 Tm
0.7385 0.7389 0.0000 Tm
0.0000 0.0000 0.0000 Ga
0.5000 0.5000 0.0000 Ru
```



[5]
VASP calculation (PBE-GGA) on a relaxed TmGa3Ru2 crystal.

## Properties
The value obtained for the total moment is 0.000 μB per cell. The excess energy over the best structure of this formula in the dataset comes out at 0 meV/atom. Its space-group type is Cmcm.

Structure (POSCAR):
```
TmGa3Ru2
1.0
5.8236 0.0000 0.0000
0.0000 5.9907 0.5960
0.0000 -1.4145 5.8518
Ru Ga Tm
4 6 2
direct
0.5000 0.7735 0.2265 Ru
0.0000 0.7735 0.2265 Ru
0.0000 0.2265 0.7735 Ru
0.5000 0.2265 0.7735 Ru
0.7500 0.0994 0.4434 Ga
0.7500 0.0045 0.0045 Ga
0.2500 0.9006 0.5566 Ga
0.2500 0.5566 0.9006 Ga
0.2500 0.9955 0.9955 Ga
0.7500 0.4434 0.0994 Ga
0.7500 0.6311 0.6311 Tm
0.2500 0.3689 0.3689 Tm
```



[6]
VASP calculation (PBE-GGA) on a relaxed TmGa4Ru3 crystal.

## Properties
The value obtained for the total moment is 0.000 μB per cell. Its space-group type is Pmma.

Structure (POSCAR):
```
TmGa4Ru3
1.0
4.4072 0.0000 0.0000
0.0000 6.4722 0.0000
0.0000 0.0000 8.7662
Ga Tm Ru
8 2 6
direct
0.5000 0.7821 0.0000 Ga
0.5000 0.7821 0.5000 Ga
0.5000 0.2179 0.0000 Ga
0.0071 0.2165 0.7500 Ga
0.9929 0.7835 0.2500 Ga
0.0071 0.7835 0.7500 Ga
0.5000 0.2179 0.5000 Ga
0.9929 0.2165 0.2500 Ga
0.0000 0.5000 0.5000 Tm
0.0000 0.5000 0.0000 Tm
0.5354 0.5000 0.2500 Ru
0.0000 0.0000 0.5000 Ru
0.4906 0.0000 0.2500 Ru
0.5094 0.0000 0.7500 Ru
0.0000 0.0000 0.0000 Ru
0.4646 0.5000 0.7500 Ru
```



Number 1: energy of formation from the pure elements -0.538 eV per atom. Number 2: energy of formation from the pure elements -0.459 eV per atom. Number 3: energy of formation from the pure elements -0.580 eV per atom. Number 4: energy of formation from the pure elements -0.107 eV per atom. Number 5: energy of formation from the pure elements -0.470 eV per atom. Number 6: energy of formation from the pure elements -0.356 eV per atom.